{"formula": "Ca2TiO4", "functional": "GGA-PBE", "state": "relaxed", "cell": [[-0.499, 5.776, -1.890], [1.976, -4.018, -4.139], [-6.585, -1.956, 1.271]], "species": ["O", "O", "O", "O", "O", "O", "O", "O", "Ca", "Ca", "Ca", "Ca", "Ti", "Ti"], "fractional_positions": [[0.326, 0.846, 0.600], [0.774, 0.754, 0.600], [0.674, 0.154, 0.400], [0.246, 0.226, 0.900], [0.226, 0.246, 0.400], [0.754, 0.774, 0.100], [0.154, 0.674, 0.900], [0.846, 0.326, 0.100], [0.564, 0.436, 0.250], [0.186, 0.814, 0.250], [0.436, 0.564, 0.750], [0.814, 0.186, 0.750], [0.875, 0.125, 0.250], [0.125, 0.875, 0.750]], "density_g_cm3": 3.08, "formation_energy_uncorrected_ev_per_atom": -3.087, "total_magnetization_mub_per_fu": 0.0, "space_group": "Fddd (70)", "e_tot_ev_per_atom": -7.620}